Entry 1:
Below is a crystal of KLaHg2 relaxed with PBEsol, with properties calculated at the SCAN level.

Calculated values
Fermi-level density of states: 2.834 states/eV/cell
E: -47.423 eV/atom
energy of formation from the pure elements: -0.482 eV per atom

Cell lengths 3.8661, 3.8661, 8.2505 Å; angles 90.00, 90.00, 90.00 degrees
Atoms (fractional coordinates):
K: 0.5000 0.5000 0.5000
Hg: 0.0000 0.0000 0.2128
Hg: 0.0000 0.0000 0.7872
La: 0.5000 0.5000 0.0000

---

Entry 2:
Below is a crystal of KLaHg2 relaxed with PBEsol, with properties calculated at the SCAN level.

Calculated values
Fermi-level density of states: 0.796 states/eV/cell
E: -47.242 eV/atom
energy of formation from the pure elements: -0.300 eV per atom

Cell lengths 5.2340, 5.2340, 5.2373 Å; angles 119.98, 119.98, 90.00 degrees
Atoms (fractional coordinates):
Hg: 0.0000 0.0000 0.0000
Hg: 0.7500 0.2500 0.5000
K: 0.5000 0.5000 0.0000
La: 0.2500 0.7500 0.5000

---

Entry 3:
Below is a crystal of KLaHg2 relaxed with PBEsol, with properties calculated at the SCAN level.

Calculated values
Fermi-level density of states: 2.451 states/eV/cell
E: -47.295 eV/atom
energy of formation from the pure elements: -0.354 eV per atom

Cell lengths 3.6243, 5.4786, 6.7161 Å; angles 114.07, 105.65, 90.00 degrees
Atoms (fractional coordinates):
Hg: 0.0155 0.0155 0.0310
Hg: 0.7186 0.2186 0.4372
K: 0.4829 0.4829 0.9657
La: 0.2831 0.7831 0.5662

---

Entry 4:
Below is a crystal of K2LiHg relaxed with PBEsol, with properties calculated at the SCAN level.

Calculated values
Fermi-level density of states: 2.103 states/eV/cell
E: -21.959 eV/atom
energy of formation from the pure elements: -0.156 eV per atom

Cell lengths 3.9064, 3.9064, 9.8699 Å; angles 90.00, 90.00, 90.00 degrees
Atoms (fractional coordinates):
K: 0.0000 0.0000 0.9192
K: 0.5000 0.5000 0.3165
Hg: 0.5000 0.5000 0.6697
Li: 0.0000 0.0000 0.5945

---

Entry 5:
Below is a crystal of K2Li2Hg relaxed with PBEsol, with properties calculated at the SCAN level.

Calculated values
Fermi-level density of states: 2.962 states/eV/cell
E: -17.944 eV/atom
energy of formation from the pure elements: -0.024 eV per atom

Cell lengths 4.0693, 4.0693, 11.1163 Å; angles 100.55, 100.55, 90.00 degrees
Atoms (fractional coordinates):
K: 0.4002 0.4002 0.8004
K: 0.5998 0.5998 0.1996
Hg: 0.0000 0.0000 0.0000
Li: 0.2500 0.7500 0.5000
Li: 0.7500 0.2500 0.5000

---

Entry 6:
Below is a crystal of K2LiHg2 relaxed with PBEsol, with properties calculated at the SCAN level.

Calculated values
Fermi-level density of states: 4.201 states/eV/cell
E: -31.319 eV/atom
energy of formation from the pure elements: -0.244 eV per atom

Cell lengths 5.4201, 7.7565, 7.7565 Å; angles 90.00, 90.00, 90.00 degrees
Atoms (fractional coordinates):
K: 0.5000 0.1734 0.6734
K: 0.5000 0.6734 0.8266
K: 0.5000 0.8266 0.3266
K: 0.5000 0.3266 0.1734
Hg: 0.0000 0.3647 0.8647
Hg: 0.0000 0.8647 0.6353
Hg: 0.0000 0.6353 0.1353
Hg: 0.0000 0.1353 0.3647
Li: 0.0000 0.0000 0.0000
Li: 0.0000 0.5000 0.5000

---

Entry 7:
Below is a crystal of K2LiHg relaxed with PBEsol, with properties calculated at the SCAN level.

Calculated values
Fermi-level density of states: 2.068 states/eV/cell
E: -21.869 eV/atom
energy of formation from the pure elements: -0.065 eV per atom

Cell lengths 5.7964, 5.7964, 5.7964 Å; angles 60.00, 60.00, 60.00 degrees
Atoms (fractional coordinates):
Hg: 0.5000 0.5000 0.5000
K: 0.0000 0.0000 0.0000
K: 0.2500 0.2500 0.2500
Li: 0.7500 0.7500 0.7500

---

Entry 8:
Below is a crystal of K3LiHg relaxed with PBEsol, with properties calculated at the SCAN level.

Calculated values
Fermi-level density of states: 3.681 states/eV/cell
E: -19.076 eV/atom
energy of formation from the pure elements: 0.033 eV per atom

Cell lengths 6.5454, 6.5454, 6.5454 Å; angles 90.00, 90.00, 90.00 degrees
Atoms (fractional coordinates):
K: 0.0000 0.5000 0.0000
K: 0.0000 0.0000 0.5000
K: 0.5000 0.0000 0.0000
Hg: 0.0000 0.0000 0.0000
Li: 0.5000 0.5000 0.5000

---

Entry 9:
Below is a crystal of KLiHg2Pt relaxed with PBEsol, with properties calculated at the SCAN level.

Calculated values
Fermi-level density of states: 2.938 states/eV/cell
E: -43.055 eV/atom
energy of formation from the pure elements: 0.394 eV per atom

Cell lengths 4.7771, 4.7771, 5.0428 Å; angles 90.00, 90.00, 90.00 degrees
Atoms (fractional coordinates):
K: 0.0000 0.0000 0.5000
Hg: 0.0000 0.5000 0.0000
Hg: 0.5000 0.0000 0.0000
Pt: 0.5000 0.5000 0.5000
Li: 0.0000 0.0000 0.0000

---

Entry 10:
Below is a crystal of KMg3Hg relaxed with PBEsol, with properties calculated at the SCAN level.

Calculated values
Fermi-level density of states: 2.662 states/eV/cell
E: -17.330 eV/atom
energy of formation from the pure elements: 0.953 eV per atom

Cell lengths 6.4587, 6.4587, 6.4587 Å; angles 90.00, 90.00, 90.00 degrees
Atoms (fractional coordinates):
Mg: 0.0000 0.5000 0.0000
Mg: 0.0000 0.0000 0.5000
Mg: 0.5000 0.0000 0.0000
K: 0.0000 0.0000 0.0000
Hg: 0.5000 0.5000 0.5000

---

Entry 11:
Below is a crystal of KMgHg relaxed with PBEsol, with properties calculated at the SCAN level.

Calculated values
Fermi-level density of states: 1.523 states/eV/cell
offset from the most stable computed form: 0 meV/atom
E: -27.354 eV/atom
energy of formation from the pure elements: -0.198 eV per atom

Cell lengths 3.8229, 3.8229, 6.9018 Å; angles 106.08, 106.08, 90.00 degrees
Atoms (fractional coordinates):
Mg: 0.3822 0.3822 0.7645
K: 0.6583 0.6583 0.3167
Hg: 0.9594 0.9594 0.9188

---

Entry 12:
Below is a crystal of KMgHg2 relaxed with PBEsol, with properties calculated at the SCAN level.

Calculated values
Fermi-level density of states: 2.053 states/eV/cell
E: -37.700 eV/atom
energy of formation from the pure elements: -0.292 eV per atom

Cell lengths 3.6211, 3.6211, 8.0910 Å; angles 90.00, 90.00, 90.00 degrees
Atoms (fractional coordinates):
Mg: 0.5000 0.5000 0.5000
K: 0.5000 0.5000 0.0000
Hg: 0.0000 0.0000 0.6941
Hg: 0.0000 0.0000 0.3059

---

Entry 13:
Below is a crystal of KMg2Hg2 relaxed with PBEsol, with properties calculated at the SCAN level.

Calculated values
Fermi-level density of states: 3.770 states/eV/cell
offset from the most stable computed form: 52 meV/atom
E: -31.179 eV/atom
energy of formation from the pure elements: -0.258 eV per atom

Cell lengths 3.2444, 8.7682, 8.7682 Å; angles 90.00, 90.00, 90.00 degrees
Atoms (fractional coordinates):
Mg: 0.5000 0.1346 0.6346
Mg: 0.5000 0.6346 0.8654
Mg: 0.5000 0.8654 0.3654
Mg: 0.5000 0.3654 0.1346
K: 0.0000 0.0000 0.0000
K: 0.0000 0.5000 0.5000
Hg: 0.0000 0.3433 0.8433
Hg: 0.0000 0.8433 0.6567
Hg: 0.0000 0.6567 0.1567
Hg: 0.0000 0.1567 0.3433

---

Entry 14:
Below is a crystal of KMgHg2 relaxed with PBEsol, with properties calculated at the SCAN level.

Calculated values
Fermi-level density of states: 1.641 states/eV/cell
E: -37.591 eV/atom
energy of formation from the pure elements: -0.182 eV per atom

Cell lengths 3.4747, 5.4870, 5.4870 Å; angles 90.00, 90.00, 90.00 degrees
Atoms (fractional coordinates):
Hg: 0.0000 0.0000 0.5000
Hg: 0.0000 0.5000 0.0000
K: 0.5000 0.5000 0.5000
Mg: 0.5000 0.0000 0.0000

---

Entry 15:
Below is a crystal of KMgHg2 relaxed with PBEsol, with properties calculated at the SCAN level.

Calculated values
Fermi-level density of states: 1.704 states/eV/cell
E: -37.636 eV/atom
energy of formation from the pure elements: -0.228 eV per atom

Cell lengths 3.5687, 4.8276, 7.3776 Å; angles 99.82, 90.00, 111.69 degrees
Atoms (fractional coordinates):
Hg: 0.7644 0.5287 0.8186
Hg: 0.2356 0.4713 0.1814
K: 0.0000 0.0000 0.5000
Mg: 0.5000 0.0000 0.0000

---

Entry 16:
Below is a crystal of KMg2Hg2 relaxed with PBEsol, with properties calculated at the SCAN level.

Calculated values
Fermi-level density of states: 2.137 states/eV/cell
offset from the most stable computed form: 0 meV/atom
E: -31.232 eV/atom
energy of formation from the pure elements: -0.310 eV per atom

Cell lengths 4.7231, 4.7231, 7.0187 Å; angles 109.66, 109.66, 90.00 degrees
Atoms (fractional coordinates):
Mg: 0.2500 0.7500 0.5000
Mg: 0.7500 0.2500 0.5000
K: 0.0000 0.0000 0.0000
Hg: 0.3830 0.3830 0.7660
Hg: 0.6170 0.6170 0.2340

---

Entry 17:
Below is a crystal of KMgHg2 relaxed with PBEsol, with properties calculated at the SCAN level.

Calculated values
Fermi-level density of states: 1.567 states/eV/cell
E: -37.650 eV/atom
energy of formation from the pure elements: -0.242 eV per atom

Cell lengths 3.4296, 4.6528, 7.3608 Å; angles 90.00, 103.63, 90.00 degrees
Atoms (fractional coordinates):
Hg: 0.7848 0.0000 0.9452
Hg: 0.9208 0.5000 0.2159
K: 0.5489 0.0000 0.4715
Mg: 0.2456 0.5000 0.8675

---

Entry 18:
Below is a crystal of KMgHg relaxed with PBEsol, with properties calculated at the SCAN level.

Calculated values
Fermi-level density of states: 1.650 states/eV/cell
offset from the most stable computed form: 292 meV/atom
E: -27.062 eV/atom
energy of formation from the pure elements: 0.094 eV per atom

Cell lengths 5.2397, 5.2397, 5.2397 Å; angles 60.00, 60.00, 60.00 degrees
Atoms (fractional coordinates):
Hg: 0.0000 0.0000 0.0000
K: 0.5000 0.5000 0.5000
Mg: 0.2500 0.2500 0.2500

---

Entry 19:
Below is a crystal of K2MgHg2 relaxed with PBEsol, with properties calculated at the SCAN level.

Calculated values
Fermi-level density of states: 4.242 states/eV/cell
E: -31.829 eV/atom
energy of formation from the pure elements: -0.237 eV per atom

Cell lengths 5.4904, 7.7169, 7.7169 Å; angles 90.00, 90.00, 90.00 degrees
Atoms (fractional coordinates):
Mg: 0.0000 0.0000 0.0000
Mg: 0.0000 0.5000 0.5000
K: 0.5000 0.1733 0.6733
K: 0.5000 0.6733 0.8267
K: 0.5000 0.8267 0.3267
K: 0.5000 0.3267 0.1733
Hg: 0.0000 0.3629 0.8629
Hg: 0.0000 0.8629 0.6371
Hg: 0.0000 0.6371 0.1371
Hg: 0.0000 0.1371 0.3629

---

Entry 20:
Below is a crystal of KMg2Hg relaxed with PBEsol, with properties calculated at the SCAN level.

Calculated values
Fermi-level density of states: 1.931 states/eV/cell
E: -21.440 eV/atom
energy of formation from the pure elements: 0.171 eV per atom

Cell lengths 3.2453, 6.2992, 6.2992 Å; angles 117.67, 90.00, 90.00 degrees
Atoms (fractional coordinates):
Hg: 0.5000 0.0000 0.0000
K: 0.5000 0.5000 0.5000
Mg: 0.0000 0.5000 0.0000
Mg: 0.0000 0.0000 0.5000

---

Entry 21:
Below is a crystal of KMg2Hg relaxed with PBEsol, with properties calculated at the SCAN level.

Calculated values
Fermi-level density of states: 1.956 states/eV/cell
E: -21.531 eV/atom
energy of formation from the pure elements: 0.079 eV per atom

Cell lengths 3.9853, 5.2025, 5.4410 Å; angles 90.00, 90.00, 90.00 degrees
Atoms (fractional coordinates):
Hg: 0.5000 0.0000 0.5000
K: 0.0000 0.5000 0.5000
Mg: 0.0000 0.0000 0.0000
Mg: 0.5000 0.5000 0.0000

---

Entry 22:
Below is a crystal of K3MgHg relaxed with PBEsol, with properties calculated at the SCAN level.

Calculated values
Fermi-level density of states: 3.992 states/eV/cell
E: -19.337 eV/atom
energy of formation from the pure elements: 0.288 eV per atom

Cell lengths 6.8436, 6.8436, 6.8436 Å; angles 90.00, 90.00, 90.00 degrees
Atoms (fractional coordinates):
Mg: 0.0000 0.0000 0.0000
K: 0.0000 0.5000 0.0000
K: 0.0000 0.0000 0.5000
K: 0.5000 0.0000 0.0000
Hg: 0.5000 0.5000 0.5000

---

Entry 23:
Below is a crystal of K2MgTcHg relaxed with PBEsol, with properties calculated at the SCAN level.

Calculated values
Fermi-level density of states: 3.257 states/eV/cell
E: -24.043 eV/atom
energy of formation from the pure elements: 0.928 eV per atom

Cell lengths 5.0371, 6.4490, 6.4490 Å; angles 90.00, 90.00, 90.00 degrees
Atoms (fractional coordinates):
Mg: 0.0000 0.0000 0.0000
K: 0.0000 0.0000 0.5000
K: 0.0000 0.5000 0.0000
Hg: 0.5000 0.5000 0.5000
Tc: 0.5000 0.0000 0.0000

---

Entry 24:
Below is a crystal of KMgZr2Hg relaxed with PBEsol, with properties calculated at the SCAN level.

Calculated values
Fermi-level density of states: 6.005 states/eV/cell
E: -27.728 eV/atom
energy of formation from the pure elements: 0.845 eV per atom

Cell lengths 5.3309, 5.3309, 5.8825 Å; angles 90.00, 90.00, 90.00 degrees
Atoms (fractional coordinates):
Mg: 0.5000 0.5000 0.5000
K: 0.0000 0.0000 0.5000
Hg: 0.0000 0.0000 0.0000
Zr: 0.0000 0.5000 0.0000
Zr: 0.5000 0.0000 0.0000

---

Entry 25:
Below is a crystal of KMn2Hg relaxed with PBEsol, with properties calculated at the SCAN level.

Calculated values
Fermi-level density of states: 2.338 states/eV/cell
E: -27.821 eV/atom
energy of formation from the pure elements: 0.431 eV per atom

Cell lengths 3.1049, 3.1049, 10.5291 Å; angles 81.52, 81.52, 60.00 degrees
Atoms (fractional coordinates):
Hg: 0.5000 0.5000 0.5000
K: 0.0000 0.0000 0.0000
Mn: 0.2372 0.2372 0.2885
Mn: 0.7628 0.7628 0.7115

---

Entry 26:
Below is a crystal of KMnHg relaxed with PBEsol, with properties calculated at the SCAN level.

Calculated values
Fermi-level density of states: 2.307 states/eV/cell
offset from the most stable computed form: 0 meV/atom
E: -31.252 eV/atom
energy of formation from the pure elements: 0.332 eV per atom

Cell lengths 5.0725, 5.0725, 5.0725 Å; angles 60.00, 60.00, 60.00 degrees
Atoms (fractional coordinates):
Hg: 0.2500 0.2500 0.2500
K: 0.0000 0.0000 0.0000
Mn: 0.5000 0.5000 0.5000

---

Entry 27:
Below is a crystal of KMnHg relaxed with PBEsol, with properties calculated at the SCAN level.

Calculated values
Fermi-level density of states: 2.391 states/eV/cell
offset from the most stable computed form: 326 meV/atom
E: -30.926 eV/atom
energy of formation from the pure elements: 0.658 eV per atom

Cell lengths 5.2649, 5.2649, 5.2649 Å; angles 60.00, 60.00, 60.00 degrees
Atoms (fractional coordinates):
Hg: 0.5000 0.5000 0.5000
K: 0.2500 0.2500 0.2500
Mn: 0.0000 0.0000 0.0000

---

Entry 28:
Below is a crystal of KMnHg2 relaxed with PBEsol, with properties calculated at the SCAN level.

Calculated values
Fermi-level density of states: 2.022 states/eV/cell
E: -40.854 eV/atom
energy of formation from the pure elements: -0.125 eV per atom

Cell lengths 3.4076, 3.4076, 8.0908 Å; angles 90.00, 90.00, 90.00 degrees
Atoms (fractional coordinates):
Hg: 0.0000 0.0000 0.6882
Hg: 0.0000 0.0000 0.3118
K: 0.5000 0.5000 0.0000
Mn: 0.5000 0.5000 0.5000

---

Entry 29:
Below is a crystal of K4MnHg relaxed with PBEsol, with properties calculated at the SCAN level.

Calculated values
Fermi-level density of states: 4.661 states/eV/cell
E: -19.472 eV/atom
energy of formation from the pure elements: 0.484 eV per atom

Cell lengths 7.2995, 7.2995, 7.2995 Å; angles 60.00, 60.00, 60.00 degrees
Atoms (fractional coordinates):
Hg: 0.0000 0.0000 0.0000
K: 0.3751 0.3751 0.3751
K: 0.3751 0.3751 0.8748
K: 0.8748 0.3751 0.3751
K: 0.3751 0.8748 0.3751
Mn: 0.7500 0.7500 0.7500